# 1
The following is a PBE calculation of a relaxed structure of Nb3CuC, from Alexandria.

```
data_Nb3CuC
_chemical_formula_sum 'Nb3 Cu1 C1'
_symmetry_space_group_name_H-M 'P 1'
_symmetry_Int_Tables_number 1
_cell_length_a 4.269
_cell_length_b 4.269
_cell_length_c 4.269
_cell_angle_alpha 90.00
_cell_angle_beta 90.00
_cell_angle_gamma 90.00
loop_
_symmetry_equiv_pos_as_xyz
'x,y,z'
loop_
_atom_site_label
_atom_site_type_symbol
_atom_site_fract_x
_atom_site_fract_y
_atom_site_fract_z
Nb1 Nb 0.000 0.000 0.500
Nb2 Nb 0.000 0.500 0.000
Nb3 Nb 0.500 0.000 0.000
Cu1 Cu 0.500 0.500 0.500
C1 C 0.000 0.000 0.000
```

The calculation puts the energy of formation at -0.20 eV per formula unit. The value obtained for the distance to the lowest polymorph of the same formula is 0.198 eV/atom.

***

# 2
The following is a PBE calculation of a relaxed structure of NbCuC3, from Alexandria.

```
data_NbCuC3
_chemical_formula_sum 'Nb1 Cu1 C3'
_symmetry_space_group_name_H-M 'P 1'
_symmetry_Int_Tables_number 1
_cell_length_a 3.759
_cell_length_b 3.759
_cell_length_c 3.759
_cell_angle_alpha 90.00
_cell_angle_beta 90.00
_cell_angle_gamma 90.00
loop_
_symmetry_equiv_pos_as_xyz
'x,y,z'
loop_
_atom_site_label
_atom_site_type_symbol
_atom_site_fract_x
_atom_site_fract_y
_atom_site_fract_z
Nb1 Nb 0.000 0.000 0.000
Cu1 Cu 0.500 0.500 0.500
C1 C 0.000 0.500 0.500
C2 C 0.500 0.000 0.500
C3 C 0.500 0.500 0.000
```

The calculation puts the energy of formation at 10.93 eV per formula unit. The value obtained for the distance to the lowest polymorph of the same formula is 0.000 eV/atom.

***

# 3
The following is a PBE calculation of a relaxed structure of Nb2CuC, from Alexandria.

```
data_Nb2CuC
_chemical_formula_sum 'Nb8 Cu4 C4'
_symmetry_space_group_name_H-M 'P 1'
_symmetry_Int_Tables_number 1
_cell_length_a 6.359
_cell_length_b 6.359
_cell_length_c 5.634
_cell_angle_alpha 90.00
_cell_angle_beta 90.00
_cell_angle_gamma 90.00
loop_
_symmetry_equiv_pos_as_xyz
'x,y,z'
loop_
_atom_site_label
_atom_site_type_symbol
_atom_site_fract_x
_atom_site_fract_y
_atom_site_fract_z
Nb1 Nb 0.198 0.250 0.125
Nb2 Nb 0.250 0.698 0.375
Nb3 Nb 0.250 0.802 0.875
Nb4 Nb 0.302 0.250 0.625
Nb5 Nb 0.698 0.750 0.625
Nb6 Nb 0.750 0.198 0.875
Nb7 Nb 0.750 0.302 0.375
Nb8 Nb 0.802 0.750 0.125
Cu1 Cu 0.000 0.000 0.500
Cu2 Cu 0.000 0.500 0.750
Cu3 Cu 0.500 0.000 0.250
Cu4 Cu 0.500 0.500 0.000
C1 C 0.000 0.000 0.000
C2 C 0.000 0.500 0.250
C3 C 0.500 0.000 0.750
C4 C 0.500 0.500 0.500
```

The calculation puts the energy of formation at 0.98 eV per formula unit.

***

# 4
The following is a PBE calculation of a relaxed structure of NbCuC3, from Alexandria.

```
data_NbCuC3
_chemical_formula_sum 'Nb1 Cu1 C3'
_symmetry_space_group_name_H-M 'P 1'
_symmetry_Int_Tables_number 1
_cell_length_a 4.175
_cell_length_b 4.175
_cell_length_c 4.175
_cell_angle_alpha 90.00
_cell_angle_beta 90.00
_cell_angle_gamma 90.00
loop_
_symmetry_equiv_pos_as_xyz
'x,y,z'
loop_
_atom_site_label
_atom_site_type_symbol
_atom_site_fract_x
_atom_site_fract_y
_atom_site_fract_z
Nb1 Nb 0.000 0.000 0.000
Cu1 Cu 0.500 0.500 0.500
C1 C 0.000 0.000 0.500
C2 C 0.000 0.500 0.000
C3 C 0.500 0.000 0.000
```

The calculation puts the energy of formation at 10.96 eV per formula unit. The value obtained for the distance to the lowest polymorph of the same formula is 0.007 eV/atom.

***

# 5
The following is a PBE calculation of a relaxed structure of Nb2CuC, from Alexandria.

```
data_Nb2CuC
_chemical_formula_sum 'Nb6 Cu3 C3'
_symmetry_space_group_name_H-M 'P 1'
_symmetry_Int_Tables_number 1
_cell_length_a 3.154
_cell_length_b 3.154
_cell_length_c 19.775
_cell_angle_alpha 90.00
_cell_angle_beta 90.00
_cell_angle_gamma 120.00
loop_
_symmetry_equiv_pos_as_xyz
'x,y,z'
loop_
_atom_site_label
_atom_site_type_symbol
_atom_site_fract_x
_atom_site_fract_y
_atom_site_fract_z
Nb1 Nb 0.000 0.000 0.228
Nb2 Nb 0.000 0.000 0.772
Nb3 Nb 0.333 0.667 0.439
Nb4 Nb 0.333 0.667 0.895
Nb5 Nb 0.667 0.333 0.105
Nb6 Nb 0.667 0.333 0.561
Cu1 Cu 0.000 0.000 0.000
Cu2 Cu 0.333 0.667 0.667
Cu3 Cu 0.667 0.333 0.333
C1 C 0.000 0.000 0.500
C2 C 0.333 0.667 0.167
C3 C 0.667 0.333 0.833
```

The calculation puts the energy of formation at -0.84 eV per formula unit.

***

# 6
The following is a PBE calculation of a relaxed structure of NbCuC, from Alexandria.

```
data_NbCuC
_chemical_formula_sum 'Nb2 Cu2 C2'
_symmetry_space_group_name_H-M 'P 1'
_symmetry_Int_Tables_number 1
_cell_length_a 3.214
_cell_length_b 3.214
_cell_length_c 7.072
_cell_angle_alpha 90.00
_cell_angle_beta 90.00
_cell_angle_gamma 90.00
loop_
_symmetry_equiv_pos_as_xyz
'x,y,z'
loop_
_atom_site_label
_atom_site_type_symbol
_atom_site_fract_x
_atom_site_fract_y
_atom_site_fract_z
Nb1 Nb 0.250 0.250 0.152
Nb2 Nb 0.750 0.750 0.848
Cu1 Cu 0.250 0.750 0.500
Cu2 Cu 0.750 0.250 0.500
C1 C 0.250 0.250 0.848
C2 C 0.750 0.750 0.152
```

The calculation puts the energy of formation at 0.23 eV per formula unit.

***

# 7
The following is a PBE calculation of a relaxed structure of NbCu2C, from Alexandria.

```
data_NbCu2C
_chemical_formula_sum 'Nb4 Cu8 C4'
_symmetry_space_group_name_H-M 'P 1'
_symmetry_Int_Tables_number 1
_cell_length_a 6.691
_cell_length_b 6.691
_cell_length_c 4.453
_cell_angle_alpha 90.00
_cell_angle_beta 90.00
_cell_angle_gamma 90.00
loop_
_symmetry_equiv_pos_as_xyz
'x,y,z'
loop_
_atom_site_label
_atom_site_type_symbol
_atom_site_fract_x
_atom_site_fract_y
_atom_site_fract_z
Nb1 Nb 0.000 0.000 0.000
Nb2 Nb 0.000 0.500 0.250
Nb3 Nb 0.500 0.000 0.750
Nb4 Nb 0.500 0.500 0.500
Cu1 Cu 0.163 0.250 0.625
Cu2 Cu 0.250 0.663 0.875
Cu3 Cu 0.250 0.837 0.375
Cu4 Cu 0.337 0.250 0.125
Cu5 Cu 0.663 0.750 0.125
Cu6 Cu 0.750 0.163 0.375
Cu7 Cu 0.750 0.337 0.875
Cu8 Cu 0.837 0.750 0.625
C1 C 0.000 0.000 0.500
C2 C 0.000 0.500 0.750
C3 C 0.500 0.000 0.250
C4 C 0.500 0.500 0.000
```

The calculation puts the energy of formation at 2.18 eV per formula unit.

***

# 8
The following is a PBE calculation of a relaxed structure of NbCuRe2C, from Alexandria.

```
data_NbCuRe2C
_chemical_formula_sum 'Nb1 Cu1 Re2 C1'
_symmetry_space_group_name_H-M 'P 1'
_symmetry_Int_Tables_number 1
_cell_length_a 4.845
_cell_length_b 4.845
_cell_length_c 4.013
_cell_angle_alpha 90.00
_cell_angle_beta 90.00
_cell_angle_gamma 90.00
loop_
_symmetry_equiv_pos_as_xyz
'x,y,z'
loop_
_atom_site_label
_atom_site_type_symbol
_atom_site_fract_x
_atom_site_fract_y
_atom_site_fract_z
Nb1 Nb 0.000 0.000 0.000
Cu1 Cu 0.500 0.500 0.500
Re1 Re 0.000 0.500 0.000
Re2 Re 0.500 0.000 0.000
C1 C 0.000 0.000 0.500
```

The calculation puts the energy of formation at 12.78 eV per formula unit.

***

# 9
The following is a PBE calculation of a relaxed structure of Ti2NbCuC, from Alexandria.

```
data_Ti2NbCuC
_chemical_formula_sum 'Ti2 Nb1 Cu1 C1'
_symmetry_space_group_name_H-M 'P 1'
_symmetry_Int_Tables_number 1
_cell_length_a 4.133
_cell_length_b 4.133
_cell_length_c 4.281
_cell_angle_alpha 90.00
_cell_angle_beta 90.00
_cell_angle_gamma 90.00
loop_
_symmetry_equiv_pos_as_xyz
'x,y,z'
loop_
_atom_site_label
_atom_site_type_symbol
_atom_site_fract_x
_atom_site_fract_y
_atom_site_fract_z
Ti1 Ti 0.000 0.500 0.000
Ti2 Ti 0.500 0.000 0.000
Nb1 Nb 0.000 0.000 0.500
Cu1 Cu 0.500 0.500 0.500
C1 C 0.000 0.000 0.000
```

The calculation puts the energy of formation at -1.29 eV per formula unit.

***

# 10
The following is a PBE calculation of a relaxed structure of Nd3CuC, from Alexandria.

```
data_Nd3CuC
_chemical_formula_sum 'Nd3 Cu1 C1'
_symmetry_space_group_name_H-M 'P 1'
_symmetry_Int_Tables_number 1
_cell_length_a 5.054
_cell_length_b 5.054
_cell_length_c 5.054
_cell_angle_alpha 90.00
_cell_angle_beta 90.00
_cell_angle_gamma 90.00
loop_
_symmetry_equiv_pos_as_xyz
'x,y,z'
loop_
_atom_site_label
_atom_site_type_symbol
_atom_site_fract_x
_atom_site_fract_y
_atom_site_fract_z
Nd1 Nd 0.000 0.000 0.500
Nd2 Nd 0.000 0.500 0.000
Nd3 Nd 0.500 0.000 0.000
Cu1 Cu 0.500 0.500 0.500
C1 C 0.000 0.000 0.000
```

The calculation puts the energy of formation at 0.53 eV per formula unit.